Record 1
VASP calculation (GGA-PBEsol) on an optimized crystal structure of La4P3.

Cell and atoms, written as CIF:
```
data_La4P3
_cell_length_a 5.8464
_cell_length_b 5.8464
_cell_length_c 5.6292
_cell_angle_alpha 90.00
_cell_angle_beta 90.00
_cell_angle_gamma 120.00
_space_group_name_H-M_alt 'P 6/m m m'
_space_group_IT_number 191
_space_group_name_Hall '-P 6 2'
loop_
_atom_site_label
_atom_site_fract_x
_atom_site_fract_y
_atom_site_fract_z
La1 0.0000 0.0000 0.2376
La2 0.3333 0.6667 0.5000
P1 0.0000 0.5000 0.0000
```

The calculation puts the total energy at -6.084 eV/atom. As for the density of states at the Fermi level: 5.16 states/eV/cell. The value obtained for the theoretical density is 6.46 g cm⁻³. The calculated formation energy is -0.55 eV/atom.



Record 2
VASP calculation (GGA-PBEsol) on an optimized crystal structure of LaP3.

Cell and atoms, written as CIF:
```
data_LaP3
_cell_length_a 3.659
_cell_length_b 3.659
_cell_length_c 5.598
_cell_angle_alpha 90.00
_cell_angle_beta 90.00
_cell_angle_gamma 90.00
_space_group_name_H-M_alt 'P 4/m m m'
_space_group_IT_number 123
_space_group_name_Hall '-P 4 2'
loop_
_atom_site_label
_atom_site_fract_x
_atom_site_fract_y
_atom_site_fract_z
La1 0.000 0.000 0.000
P1 0.000 0.000 0.500
P2 0.500 0.500 0.304
```

The calculation puts the total energy at -6.101 eV/atom. As for the density of states at the Fermi level: 2.20 states/eV/cell. The value obtained for the theoretical density is 5.14 g cm⁻³. The calculated formation energy is -0.42 eV/atom.



Record 3
VASP calculation (GGA-PBEsol) on an optimized crystal structure of La3P.

Cell and atoms, written as CIF:
```
data_La3P
_cell_length_a 3.9448
_cell_length_b 3.9448
_cell_length_c 9.4427
_cell_angle_alpha 90.00
_cell_angle_beta 90.00
_cell_angle_gamma 120.00
_space_group_name_H-M_alt 'P -6 m 2'
_space_group_IT_number 187
_space_group_name_Hall 'P -6 2'
loop_
_atom_site_label
_atom_site_fract_x
_atom_site_fract_y
_atom_site_fract_z
La1 0.0000 0.0000 0.0000
La2 0.6667 0.3333 0.3093
P1 0.0000 0.0000 0.5000
```

The calculation puts the total energy at -6.013 eV/atom. As for the density of states at the Fermi level: 2.92 states/eV/cell. Its excess energy over the best structure of this formula in the dataset is 221 meV per atom. The value obtained for the theoretical density is 5.84 g cm⁻³. The calculated formation energy is -0.56 eV/atom.



Record 4
VASP calculation (GGA-PBEsol) on an optimized crystal structure of La2P.

Cell and atoms, written as CIF:
```
data_La2P
_cell_length_a 6.661
_cell_length_b 6.939
_cell_length_c 4.072
_cell_angle_alpha 90.00
_cell_angle_beta 90.00
_cell_angle_gamma 90.00
_space_group_name_H-M_alt 'P n n m'
_space_group_IT_number 58
loop_
_space_group_symop_operation_xyz
'x,y,z'
'-x,-y,-z'
'-x,-y,z'
'x,y,-z'
'x+1/2,-y+1/2,-z+1/2'
'-x+1/2,y+1/2,z+1/2'
'-x+1/2,y+1/2,-z+1/2'
'x+1/2,-y+1/2,z+1/2'
loop_
_atom_site_label
_atom_site_fract_x
_atom_site_fract_y
_atom_site_fract_z
La1 0.234 0.151 0.000
P1 0.000 0.500 0.000
```

The calculation puts the total energy at -6.422 eV/atom. As for the density of states at the Fermi level: 7.31 states/eV/cell. The value obtained for the theoretical density is 5.45 g cm⁻³. The calculated formation energy is -0.93 eV/atom.